Entry from Alexandria via LeMat-Bulk: an optimized crystal structure of Pr2Y7Ho2 (PBE).

The space group is C2/m (No. 12) and the conventional cell measures 11.248, 11.707 and 6.084 Å, with angles of 90.00, 113.18 and 90.00 degrees. Symmetry generates all atoms from Pr at (0.000, 0.211, 0.000), Y at (0.000, 0.000, 0.500), Y at (0.093, 0.500, 0.307), Y at (0.173, 0.238, 0.676) and Ho at (0.234, 0.000, 0.083).

The calculated volume is 736 Å³/cell. The value obtained for the energy of formation is 0.16 eV per atom. As for the relative energy among the computed polymorphs: 0 meV/atom.